(1)
Here is a geometry-optimized Ba3AlTl structure from Alexandria. Energies are from PBE-GGA.

total magnetic moment = 2.96 μB per cell
VASP energy = -11.2 eV per cell
formation energy = 145 meV/atom
mass density = 3.8 g/cm³

abc: 6.5273 6.5273 6.5273
angles: 90.00 90.00 90.00
With the nearest neighbours (Å) after each atom.
Space group Pm-3m (No. 221)
Symmetry-distinct sites (fractional):
Ba: 0.0000 0.0000 0.5000  2 Al 3.26
Al: 0.0000 0.0000 0.0000  6 Ba 3.26
Tl: 0.5000 0.5000 0.5000  12 Ba 4.62

(2)
Here is a geometry-optimized BaAlTl structure from Alexandria. Energies are from PBE-GGA.

total magnetic moment = 0.00 μB per cell
VASP energy = -16.6 eV per cell
formation energy = -86 meV/atom
mass density = 6.5 g/cm³

abc: 3.7737 3.7737 13.1910
angles: 90.00 90.00 90.00
With the nearest neighbours (Å) after each atom.
Space group I4mm (No. 107)
Symmetry-distinct sites (fractional):
Ba: 0.0000 0.0000 0.0000  4 Al 3.59, 4 Tl 3.69, 4 Ba 3.77
Al: 0.0000 0.0000 0.3175  4 Tl 3.13
Tl: 0.0000 0.0000 0.6936  4 Al 3.13

(3)
Here is a geometry-optimized BaAl4Tl structure from Alexandria. Energies are from PBE-GGA.

total magnetic moment = 0.00 μB per cell
VASP energy = -76.5 eV per cell
formation energy = 22 meV/atom
mass density = 5.1 g/cm³

abc: 8.3748 8.3748 8.3748
angles: 90.00 90.00 90.00
With the nearest neighbours (Å) after each atom.
Space group F-43m (No. 216)
Symmetry-distinct sites (fractional):
Ba: 0.0000 0.0000 0.0000  12 Al 3.47, 4 Tl 3.63
Al: 0.1246 0.1246 0.3754  6 Al 2.95-2.97
Tl: 0.2500 0.2500 0.7500  12 Al 3.47, 4 Ba 3.63

(4)
Here is a geometry-optimized BaAl2Tl structure from Alexandria. Energies are from PBE-GGA.

total magnetic moment = 0.00 μB per cell
VASP energy = -11.9 eV per cell
formation energy = -35 meV/atom
mass density = 5.5 g/cm³

abc: 3.7901 4.5139 7.1774
angles: 90.00 105.12 90.00
With the nearest neighbours (Å) after each atom.
Space group Pm (No. 6)
Symmetry-distinct sites (fractional):
Ba: 0.0000 0.0000 0.0000  7 Al 3.51-3.77, 2 Ba 3.79, 4 Tl 3.85-3.87
Al: 0.2675 0.0000 0.5305  2 Al 2.63
Al: 0.3650 0.5000 0.7246  2 Al 2.63
Tl: 0.6826 0.5000 0.3601  6 Al 3.15-3.18

(5)
Here is a geometry-optimized BaAl2Tl structure from Alexandria. Energies are from PBE-GGA.

total magnetic moment = 0.00 μB per cell
VASP energy = -12.0 eV per cell
formation energy = -56 meV/atom
mass density = 6.0 g/cm³

abc: 3.5895 3.8867 7.8562
angles: 90.00 90.00 90.00
With the nearest neighbours (Å) after each atom.
Space group Pmm2 (No. 25)
Symmetry-distinct sites (fractional):
Ba: 0.0000 0.0000 0.0000  5 Al 3.55-3.57, 4 Ba 3.59-3.89, 4 Tl 3.67
Al: 0.0000 0.0000 0.5476  4 Al 2.89, 4 Tl 3.18
Al: 0.5000 0.5000 0.6946  4 Al 2.89, 1 Tl 2.92
Tl: 0.5000 0.5000 0.3230  5 Al 2.92-3.18

(6)
Here is a geometry-optimized Ba4AlTl structure from Alexandria. Energies are from PBE-GGA.

total magnetic moment = 0.00 μB per cell
VASP energy = -14.9 eV per cell
formation energy = -186 meV/atom
mass density = 4.6 g/cm³

abc: 4.3017 4.3017 15.0950
angles: 90.00 90.00 90.00
With the nearest neighbours (Å) after each atom.
Space group P4/mmm (No. 123)
Symmetry-distinct sites (fractional):
Ba: 0.0000 0.0000 0.1252  4 Al 3.58, 1 Ba 3.78
Ba: 0.5000 0.5000 0.3658  4 Tl 3.65, 1 Ba 4.05
Al: 0.5000 0.5000 0.0000  8 Ba 3.58
Tl: 0.0000 0.0000 0.5000  8 Ba 3.65

(7)
Here is a geometry-optimized Ba8Al2Tl structure from Alexandria. Energies are from PBE-GGA.

total magnetic moment = 1.11 μB per cell
VASP energy = -51.7 eV per cell
formation energy = -58 meV/atom
mass density = 4.6 g/cm³

abc: 5.8443 9.6480 17.3638
angles: 90.00 90.00 90.00
With the nearest neighbours (Å) after each atom.
Space group Immm (No. 71)
Symmetry-distinct sites (fractional):
Ba: 0.0000 0.0000 0.1427  2 Tl 3.83, 8 Ba 3.95-4.02, 2 Al 4.14
Ba: 0.0000 0.2177 0.3403  3 Al 3.63-3.79, 1 Tl 3.89, 5 Ba 4.01-4.04
Ba: 0.0000 0.3185 0.0000  1 Ba 3.50, 2 Al 3.71
Al: 0.0000 0.5000 0.1885  8 Ba 3.63-3.79
Tl: 0.0000 0.5000 0.5000  12 Ba 3.83-4.24

(8)
Here is a geometry-optimized BaAl2Tl structure from Alexandria. Energies are from PBE-GGA.

total magnetic moment = 0.00 μB per cell
VASP energy = -22.8 eV per cell
formation energy = 96 meV/atom
mass density = 5.7 g/cm³

abc: 6.8828 6.9003 4.8343
angles: 90.00 90.09 90.00
With the nearest neighbours (Å) after each atom.
Space group C2/m (No. 12)
Symmetry-distinct sites (fractional):
Ba: 0.0000 0.0000 0.0000  8 Al 3.43, 4 Tl 3.44-3.45
Al: 0.2500 0.2500 0.5000  4 Ba 3.43, 4 Tl 3.43, 4 Al 3.44-3.45
Tl: 0.0000 0.5000 0.0000  8 Al 3.43, 4 Ba 3.44-3.45

(9)
Here is a geometry-optimized BaAl2Tl structure from Alexandria. Energies are from PBE-GGA.

total magnetic moment = 0.00 μB per cell
VASP energy = -12.5 eV per cell
formation energy = -187 meV/atom
mass density = 5.5 g/cm³

abc: 4.5830 4.5916 7.0922
angles: 90.24 108.82 119.63
With the nearest neighbours (Å) after each atom.
Space group P1 (No. 1)
Symmetry-distinct sites (fractional):
Ba: 0.0000 0.0000 0.0000  6 Al 3.53-3.61, 3 Tl 3.59-3.60
Al: 0.5713 0.7867 0.3564  3 Al 2.65-2.66
Al: 0.9144 0.4558 0.3703  3 Al 2.65-2.66
Tl: 0.4220 0.2114 0.6313  6 Al 3.15-3.22

(10)
Here is a geometry-optimized BaAlTl2 structure from Alexandria. Energies are from PBE-GGA.

total magnetic moment = 0.00 μB per cell
VASP energy = -22.4 eV per cell
formation energy = -207 meV/atom
mass density = 7.4 g/cm³

abc: 8.4351 4.8543 6.9092
angles: 90.00 113.97 90.00
With the nearest neighbours (Å) after each atom.
Space group C2/m (No. 12)
Symmetry-distinct sites (fractional):
Ba: 0.0000 0.0000 0.0000  6 Tl 3.52
Al: 0.0000 0.5000 0.5000  6 Tl 2.99-3.00
Tl: 0.2206 0.0000 0.6630  3 Al 2.99-3.00

(11)
Here is a geometry-optimized Ba3AlTl structure from Alexandria. Energies are from PBE-GGA.

total magnetic moment = 0.44 μB per cell
VASP energy = -51.2 eV per cell
formation energy = -186 meV/atom
mass density = 4.6 g/cm³

abc: 25.6800 4.5635 8.0135
angles: 90.00 98.43 90.00
With the nearest neighbours (Å) after each atom.
Space group C2/m (No. 12)
Symmetry-distinct sites (fractional):
Ba: 0.0106 0.0000 0.2462  4 Tl 3.55-3.63, 1 Ba 3.90
Ba: 0.1404 0.5000 0.6106  3 Al 3.50-3.58, 1 Tl 3.81
Ba: 0.1856 0.0000 0.1318  3 Al 3.59-3.65, 2 Tl 3.63
Al: 0.2416 0.0000 0.5774  2 Al 2.66
Tl: 0.0768 0.5000 0.0112  7 Ba 3.55-3.81, 1 Tl 3.92

(12)
Here is a geometry-optimized BaAlTl2 structure from Alexandria. Energies are from PBE-GGA.

total magnetic moment = 0.00 μB per cell
VASP energy = -20.3 eV per cell
formation energy = 64 meV/atom
mass density = 7.4 g/cm³

abc: 6.8920 11.6306 3.5603
angles: 90.00 115.44 90.00
With the nearest neighbours (Å) after each atom.
Space group C2/m (No. 12)
Symmetry-distinct sites (fractional):
Ba: 0.0000 0.0000 0.0000  4 Al 3.45-3.74, 4 Tl 3.46, 2 Ba 3.56
Al: 0.0000 0.5000 0.0000  4 Ba 3.45-3.74, 4 Tl 3.46, 2 Al 3.56
Tl: 0.2500 0.2500 0.5000  6 Tl 3.45-3.74, 2 Ba 3.46, 2 Al 3.46

(13)
Here is a geometry-optimized Ba4AlTl3 structure from Alexandria. Energies are from PBE-GGA.

total magnetic moment = 0.00 μB per cell
VASP energy = -20.9 eV per cell
formation energy = -299 meV/atom
mass density = 6.1 g/cm³

abc: 4.4986 5.2853 13.6827
angles: 90.00 90.00 90.00
With the nearest neighbours (Å) after each atom.
Space group Pmm2 (No. 25)
Symmetry-distinct sites (fractional):
Ba: 0.0000 0.0000 0.0000  5 Tl 3.61-3.94, 2 Al 3.61
Ba: 0.0000 0.5000 0.2827  4 Al 3.62, 3 Tl 3.65-3.87
Ba: 0.5000 0.0000 0.4921  6 Tl 3.61-3.76, 1 Al 3.91
Ba: 0.5000 0.5000 0.7834  7 Tl 3.60-3.96
Al: 0.5000 0.0000 0.2065  2 Tl 3.21
Tl: 0.0000 0.0000 0.7123  2 Tl 3.32, 4 Ba 3.60
Tl: 0.0000 0.5000 0.5658  2 Tl 3.32, 4 Ba 3.61
Tl: 0.5000 0.5000 0.0730  2 Al 3.21

(14)
Here is a geometry-optimized BaAl2Tl structure from Alexandria. Energies are from PBE-GGA.

total magnetic moment = 0.00 μB per cell
VASP energy = -23.8 eV per cell
formation energy = -32 meV/atom
mass density = 5.4 g/cm³

abc: 8.4422 4.6332 6.7341
angles: 90.00 112.71 90.00
With the nearest neighbours (Å) after each atom.
Space group C2/m (No. 12)
Symmetry-distinct sites (fractional):
Ba: 0.0000 0.0000 0.0000  6 Al 3.52-3.56
Al: 0.2191 0.0000 0.6416  3 Tl 2.88-2.89, 2 Al 3.17
Tl: 0.0000 0.5000 0.5000  6 Al 2.88-2.89

(15)
Here is a geometry-optimized BaAl2Tl structure from Alexandria. Energies are from PBE-GGA.

total magnetic moment = 0.00 μB per cell
VASP energy = -31.4 eV per cell
formation energy = 331 meV/atom
mass density = 5.8 g/cm³

abc: 3.4845 3.4845 32.1104
angles: 90.00 90.00 120.00
With the nearest neighbours (Å) after each atom.
Space group R-3m (No. 166, hexagonal axes)
Symmetry-distinct sites (fractional):
Ba: 0.0000 0.0000 0.0000  6 Ba 3.48, 6 Al 3.53
Al: 0.0000 0.0000 0.2431  3 Tl 3.17, 6 Al 3.48, 3 Ba 3.53
Tl: 0.0000 0.0000 0.5000  6 Al 3.17, 6 Tl 3.48

(16)
Here is a geometry-optimized BaAlTl2 structure from Alexandria. Energies are from PBE-GGA.

total magnetic moment = 0.00 μB per cell
VASP energy = -10.7 eV per cell
formation energy = -82 meV/atom
mass density = 7.6 g/cm³

abc: 3.8896 4.1193 7.7941
angles: 90.00 90.00 90.00
With the nearest neighbours (Å) after each atom.
Space group Pmm2 (No. 25)
Symmetry-distinct sites (fractional):
Ba: 0.0000 0.0000 0.0000  5 Tl 3.65-3.70, 4 Al 3.67, 2 Ba 3.89
Al: 0.5000 0.5000 0.7005  5 Tl 3.07-3.12
Tl: 0.0000 0.0000 0.5323  4 Al 3.12, 4 Tl 3.34
Tl: 0.5000 0.5000 0.3059  1 Al 3.07, 4 Tl 3.34

(17)
Here is a geometry-optimized BaAlTl structure from Alexandria. Energies are from PBE-GGA.

total magnetic moment = 0.00 μB per cell
VASP energy = -17.5 eV per cell
formation energy = -234 meV/atom
mass density = 6.1 g/cm³

abc: 4.9549 4.9703 8.1236
angles: 90.00 90.00 90.00
With the nearest neighbours (Å) after each atom.
Space group Pmm2 (No. 25)
Symmetry-distinct sites (fractional):
Ba: 0.0000 0.0000 0.0000  3 Tl 3.51-3.74, 6 Al 3.52-3.63
Ba: 0.5000 0.5000 0.3724  6 Tl 3.58-3.61, 3 Al 3.59-3.95
Al: 0.0000 0.5000 0.6928  2 Al 2.93, 2 Tl 3.12
Al: 0.5000 0.5000 0.8857  2 Tl 2.93, 2 Al 2.93
Tl: 0.0000 0.0000 0.4609  2 Al 3.12, 2 Tl 3.12
Tl: 0.5000 0.0000 0.6948  2 Al 2.93, 2 Tl 3.12

(18)
Here is a geometry-optimized BaAlTl2 structure from Alexandria. Energies are from PBE-GGA.

total magnetic moment = 0.00 μB per cell
VASP energy = -41.8 eV per cell
formation energy = -10 meV/atom
mass density = 6.5 g/cm³

abc: 5.4556 5.4556 19.7013
angles: 90.00 90.00 90.00
With the nearest neighbours (Å) after each atom.
Space group I-42d (No. 122)
Symmetry-distinct sites (fractional):
Ba: 0.0000 0.0000 0.0000  4 Tl 3.48, 4 Al 3.86
Al: 0.0000 0.0000 0.5000  4 Tl 2.90
Tl: 0.1255 0.2500 0.6250  2 Al 2.90, 2 Tl 3.05

(19)
Here is a geometry-optimized BaTmAl2 structure from Alexandria. Energies are from PBE-GGA.

total magnetic moment = 0.00 μB per cell
VASP energy = -14.7 eV per cell
formation energy = -213 meV/atom
mass density = 5.3 g/cm³

abc: 3.8083 3.8083 7.8008
angles: 90.00 90.00 90.00
With the nearest neighbours (Å) after each atom.
Space group P4/mmm (No. 123)
Symmetry-distinct sites (fractional):
Ba: 0.0000 0.0000 0.0000  8 Al 3.61, 4 Ba 3.81, 2 Tm 3.90
Tm: 0.0000 0.0000 0.5000  8 Al 3.08
Al: 0.5000 0.5000 0.3088  1 Al 2.98, 4 Tm 3.08

(20)
Here is a geometry-optimized BaTmAl4 structure from Alexandria. Energies are from PBE-GGA.

total magnetic moment = 0.00 μB per cell
VASP energy = -91.1 eV per cell
formation energy = -237 meV/atom
mass density = 5.1 g/cm³

abc: 8.1550 8.1550 8.1550
angles: 90.00 90.00 90.00
With the nearest neighbours (Å) after each atom.
Space group F-43m (No. 216)
Symmetry-distinct sites (fractional):
Ba: 0.0000 0.0000 0.0000  12 Al 3.38, 4 Tm 3.53
Tm: 0.2500 0.2500 0.7500  12 Al 3.38, 4 Ba 3.53
Al: 0.1245 0.1245 0.3755  6 Al 2.87-2.90